Entry 1:
Density functional theory data (PBE-GGA) for a relaxed structure of LiNbCd.

Results
Energy above the most stable polymorph in this dataset in meV/atom: 0.0
M_tot in μB per formula unit: 0.01

```
LiNbCd
1.0
0.0000 3.0131 3.0131
3.0131 0.0000 3.0131
3.0131 3.0131 0.0000
Li Nb Cd
1 1 1
Cartesian
0.0000 0.0000 0.0000
1.5065 1.5065 1.5065
4.5196 4.5196 4.5196
```



Entry 2:
Density functional theory data (PBE-GGA) for a relaxed structure of Sb5W3Au.

Results
Raw total energy in eV/atom: -6.612
M_tot in μB per formula unit: 0.01

```
Sb5W3Au
1.0
5.5374 0.0000 0.0000
-2.7687 4.7955 0.0000
0.0000 0.0000 8.3409
Sb W Au
5 3 1
Cartesian
0.0000 0.0000 0.0000
0.0000 3.1970 2.4234
0.0000 3.1970 5.9175
2.7687 1.5985 2.4234
2.7687 1.5985 5.9175
-1.3843 2.3977 0.0000
2.7687 0.0000 0.0000
1.3843 2.3977 0.0000
0.0000 0.0000 4.1704
```



Entry 3:
Density functional theory data (PBE-GGA) for a relaxed structure of TcNiAsPt.

Results
Energy above the most stable polymorph in this dataset in meV/atom: 0.0
M_tot in μB per formula unit: 0.03

```
TcNiAsPt
1.0
0.0000 3.0632 3.0632
3.0632 0.0000 3.0632
3.0632 3.0632 0.0000
Tc Ni As Pt
1 1 1 1
Cartesian
0.0000 0.0000 0.0000
3.0632 3.0632 3.0632
1.5316 1.5316 1.5316
4.5948 4.5948 4.5948
```



Entry 4:
Density functional theory data (PBE-GGA) for a relaxed structure of HfAlGa2.

Results
Raw total energy in eV/atom: -4.842
M_tot in μB per formula unit: 0.00

```
HfAlGa2
1.0
0.0000 3.3292 3.3292
3.3292 0.0000 3.3292
3.3292 3.3292 0.0000
Hf Al Ga
1 1 2
Cartesian
0.0000 0.0000 0.0000
4.9939 4.9939 4.9939
1.6646 1.6646 1.6646
3.3292 3.3292 3.3292
```



Entry 5:
Density functional theory data (PBE-GGA) for a relaxed structure of Ag7Pd3.

Results
Calculated formation energy in eV per atom: -0.058

```
Ag7Pd3
1.0
7.3210 -2.0534 0.0000
7.3210 2.0534 0.0000
-1.2512 0.0000 5.5953
Ag Pd
7 3
Cartesian
0.0000 0.0000 0.0000
2.1759 0.0000 3.3774
5.5878 0.0000 1.1032
4.9862 0.0000 3.9057
8.4047 0.0000 1.6896
7.8031 0.0000 4.4921
11.2150 0.0000 2.2179
-0.6256 0.0000 2.7977
2.8064 0.0000 0.5615
10.5845 0.0000 5.0338
```



Entry 6:
Density functional theory data (PBE-GGA) for a relaxed structure of Ba2ZnOsSe6.

Results
Energy above the most stable polymorph in this dataset in meV/atom: 0.0
M_tot in μB per formula unit: 1.78

```
Ba2ZnOsSe6
1.0
-3.3299 3.3299 6.1114
3.3299 -3.3299 6.1114
3.3299 3.3299 -6.1114
Ba Zn Os Se
2 1 1 6
Cartesian
3.3299 0.0000 3.0557
0.0000 3.3299 3.0557
0.0000 0.0000 0.0000
0.0000 0.0000 6.1114
4.3136 1.0044 0.0000
0.0000 0.0000 3.5318
1.0044 2.3461 0.0000
2.3255 0.9837 6.1114
0.0000 0.0000 8.6910
-0.9837 2.3255 6.1114
```



Entry 7:
Density functional theory data (PBE-GGA) for a relaxed structure of TmMgAgTe3.

Results
Raw total energy in eV/atom: -3.803
M_tot in μB per formula unit: 0.00

```
TmMgAgTe3
1.0
2.0663 -7.1063 0.0000
2.0663 7.1063 0.0000
0.0000 0.0000 11.2418
Tm Mg Ag Te
2 2 2 6
Cartesian
0.0000 0.0000 0.0000
0.0000 0.0000 5.6209
2.0663 3.9595 8.4313
2.0663 -3.9595 2.8104
2.0663 0.3002 2.8104
2.0663 -0.3002 8.4313
2.0663 5.4804 2.8104
2.0663 2.1236 0.7248
2.0663 2.1236 4.8961
2.0663 -2.1236 6.3457
2.0663 -2.1236 10.5169
2.0663 -5.4804 8.4313
```



Entry 8:
Density functional theory data (PBE-GGA) for a relaxed structure of ZrZnFeCu.

Results
Energy above the most stable polymorph in this dataset in meV/atom: 0.0
M_tot in μB per formula unit: 1.03
Calculated formation energy in eV per atom: -0.019

```
ZrZnFeCu
1.0
0.0000 3.0908 3.0908
3.0908 0.0000 3.0908
3.0908 3.0908 0.0000
Zr Zn Fe Cu
1 1 1 1
Cartesian
0.0000 0.0000 0.0000
3.0908 3.0908 3.0908
1.5454 1.5454 1.5454
4.6362 4.6362 4.6362
```



Entry 9:
Density functional theory data (PBE-GGA) for a relaxed structure of PrNdBrN.

Results
Raw total energy in eV/atom: -6.292
M_tot in μB per formula unit: 0.00

```
PrNdBrN
1.0
3.7299 0.0000 0.0000
-1.8649 3.2302 0.0000
0.0000 0.0000 14.7224
Pr Nd Br N
2 2 2 2
Cartesian
0.0000 2.1534 0.0000
1.8649 1.0767 7.3612
0.0000 2.1534 10.0305
1.8649 1.0767 2.6693
0.0000 2.1534 4.9988
1.8649 1.0767 12.3600
0.0000 0.0000 1.3857
0.0000 0.0000 8.7469
```



Entry 10:
Density functional theory data (PBE-GGA) for a relaxed structure of Tm2LuIn3Pt2.

Results
Raw total energy in eV/atom: -5.116
M_tot in μB per formula unit: 0.02

```
Tm2LuIn3Pt2
1.0
3.5725 0.0000 0.0000
0.0000 6.6223 3.8259
0.0000 -6.6223 3.8259
Tm Lu In Pt
2 1 3 2
Cartesian
0.0000 -3.8315 3.8259
0.0000 3.8315 3.8259
0.0000 0.0000 4.8376
1.7862 -1.5283 2.4952
1.7862 1.5283 2.4952
1.7862 0.0000 7.4978
1.7862 -2.2051 5.4376
1.7862 2.2051 5.4376
```



Entry 11:
Density functional theory data (PBE-GGA) for a relaxed structure of TlCdFeAu.

Results
Raw total energy in eV/atom: -3.362
M_tot in μB per formula unit: 2.70

```
TlCdFeAu
1.0
0.0000 3.3755 3.3755
3.3755 0.0000 3.3755
3.3755 3.3755 0.0000
Tl Cd Fe Au
1 1 1 1
Cartesian
0.0000 0.0000 0.0000
3.3755 3.3755 3.3755
1.6877 1.6877 1.6877
5.0632 5.0632 5.0632
```



Entry 12:
Density functional theory data (PBE-GGA) for a relaxed structure of TmHfTeC.

Results
Energy above the most stable polymorph in this dataset in meV/atom: 7.6
M_tot in μB per formula unit: 0.00

```
TmHfTeC
1.0
3.6209 0.0000 0.0000
-1.8105 3.1358 0.0000
0.0000 0.0000 13.5972
Tm Hf Te C
2 2 2 2
Cartesian
0.0000 2.0905 1.2836
1.8105 1.0453 12.3136
0.0000 2.0905 5.6562
1.8105 1.0453 7.9409
0.0000 2.0905 10.0023
1.8105 1.0453 3.5948
0.0000 0.0000 0.0000
0.0000 0.0000 6.7986
```



Entry 13:
Density functional theory data (PBE-GGA) for a relaxed structure of Sm3Zr3Te2Pd.

Results
Energy above the most stable polymorph in this dataset in meV/atom: 0.0
M_tot in μB per formula unit: 0.03

```
Sm3Zr3Te2Pd
1.0
8.1245 0.0000 0.0000
-4.0623 7.0361 0.0000
0.0000 0.0000 4.0026
Sm Zr Te Pd
3 3 2 1
Cartesian
-2.4239 4.1984 0.0000
1.6383 2.8377 0.0000
4.8479 0.0000 0.0000
-0.9652 1.6718 2.0013
1.9304 0.0000 2.0013
3.0971 5.3643 2.0013
0.0000 4.6907 2.0013
4.0623 2.3454 2.0013
0.0000 0.0000 0.0000
```



Entry 14:
Density functional theory data (PBE-GGA) for a relaxed structure of Sc2TcPd.

Results
Energy above the most stable polymorph in this dataset in meV/atom: 0.0
M_tot in μB per formula unit: 0.02
Calculated formation energy in eV per atom: -0.585

```
Sc2TcPd
1.0
3.2761 0.0000 0.0000
0.0000 3.2761 0.0000
0.0000 0.0000 6.5011
Sc Tc Pd
2 1 1
Cartesian
0.0000 0.0000 1.5539
0.0000 0.0000 4.9472
1.6381 1.6381 0.0000
1.6381 1.6381 3.2506
```



Entry 15:
Density functional theory data (PBE-GGA) for a relaxed structure of TaTlAg.

Results
Energy above the most stable polymorph in this dataset in meV/atom: 0.0
M_tot in μB per formula unit: 0.01

```
TaTlAg
1.0
0.0000 3.2684 3.2684
3.2684 0.0000 3.2684
3.2684 3.2684 0.0000
Ta Tl Ag
1 1 1
Cartesian
0.0000 0.0000 0.0000
1.6342 1.6342 1.6342
4.9026 4.9026 4.9026
```



Entry 16:
Density functional theory data (PBE-GGA) for a relaxed structure of TbGd2Sn2Pb5.

Results
Energy above the most stable polymorph in this dataset in meV/atom: 8.9
M_tot in μB per formula unit: 0.00

```
TbGd2Sn2Pb5
1.0
2.3531 -12.9015 0.0000
2.3531 12.9015 0.0000
0.0000 0.0000 4.6541
Tb Gd Sn Pb
1 2 2 5
Cartesian
0.0000 0.0000 0.0000
2.3531 8.0753 0.0000
2.3531 -8.0753 0.0000
2.3531 10.3969 2.3270
2.3531 -10.3969 2.3270
2.3531 5.3265 2.3270
2.3531 2.4952 0.0000
2.3531 0.0000 2.3270
2.3531 -2.4952 0.0000
2.3531 -5.3265 2.3270
```



Entry 17:
Density functional theory data (PBE-GGA) for a relaxed structure of NbHg2Mo.

Results
M_tot in μB per formula unit: 0.01
Calculated formation energy in eV per atom: 0.674

```
NbHg2Mo
1.0
0.0000 3.3538 3.3538
3.3538 0.0000 3.3538
3.3538 3.3538 0.0000
Nb Hg Mo
1 2 1
Cartesian
0.0000 0.0000 0.0000
3.3538 3.3538 3.3538
5.0306 5.0306 5.0306
1.6769 1.6769 1.6769
```



Entry 18:
Density functional theory data (PBE-GGA) for a relaxed structure of SmTlFeTe3.

Results
Energy above the most stable polymorph in this dataset in meV/atom: 0.0
M_tot in μB per formula unit: 3.75

```
SmTlFeTe3
1.0
9.2910 0.0000 0.0000
0.0000 4.2834 0.0000
-3.5371 0.0000 10.3852
Sm Tl Fe Te
2 2 2 6
Cartesian
1.1949 1.0708 1.5019
4.5590 3.2125 8.8833
-0.1554 3.2125 7.4035
5.9093 1.0708 2.9816
2.5672 3.2125 4.3747
3.1867 1.0708 6.0105
-2.4621 1.0708 8.7877
0.9235 1.0708 4.6939
3.4387 3.2125 1.8576
2.3152 1.0708 8.5276
4.8304 3.2125 5.6913
8.2160 3.2125 1.5974
```



Entry 19:
Density functional theory data (PBE-GGA) for a relaxed structure of Sr2InH6Pt.

Results
Raw total energy in eV/atom: -3.546
M_tot in μB per formula unit: 0.00

```
Sr2InH6Pt
1.0
0.0000 4.0563 4.0563
4.0563 0.0000 4.0563
4.0563 4.0563 0.0000
Sr In H Pt
2 1 6 1
Cartesian
2.0281 2.0281 2.0281
6.0844 6.0844 6.0844
0.0000 0.0000 0.0000
4.0563 4.0563 2.3003
4.0563 2.3003 4.0563
5.8123 4.0563 4.0563
2.3003 4.0563 4.0563
4.0563 5.8123 4.0563
4.0563 4.0563 5.8123
4.0563 4.0563 4.0563
```



Entry 20:
Density functional theory data (PBE-GGA) for a relaxed structure of TlZnSeF.

Results
Energy above the most stable polymorph in this dataset in meV/atom: 378.1

```
TlZnSeF
1.0
4.3564 0.0000 0.0000
0.0000 4.3564 0.0000
0.0000 0.0000 10.3077
Tl Zn Se F
2 2 2 2
Cartesian
1.0891 3.2673 0.0000
3.2673 1.0891 0.0000
1.0891 1.0891 4.4768
3.2673 3.2673 5.8309
1.0891 1.0891 2.1814
3.2673 3.2673 8.1263
1.0891 3.2673 5.1538
3.2673 1.0891 5.1538
```



Entry 21:
Density functional theory data (PBE-GGA) for a relaxed structure of Zn2ReB.

Results
Raw total energy in eV/atom: -4.626
M_tot in μB per formula unit: 0.00

```
Zn2ReB
1.0
0.0000 2.9067 2.9067
2.9067 0.0000 2.9067
2.9067 2.9067 0.0000
Zn Re B
2 1 1
Cartesian
0.0000 0.0000 0.0000
1.4533 1.4533 1.4533
4.3600 4.3600 4.3600
2.9067 2.9067 2.9067
```



Entry 22:
Density functional theory data (PBE-GGA) for a relaxed structure of BiMo4PbN2.

Results
Raw total energy in eV/atom: -8.280
M_tot in μB per formula unit: 0.00

```
BiMo4PbN2
1.0
3.3462 0.0000 0.0000
-1.6731 2.8979 0.0000
0.0000 0.0000 13.0945
Bi Mo Pb N
1 4 1 2
Cartesian
0.0000 0.0000 0.0000
0.0000 0.0000 4.2240
0.0000 0.0000 8.8705
0.0000 1.9319 2.3325
0.0000 1.9319 10.7620
0.0000 1.9319 6.5473
1.6731 0.9660 3.2730
1.6731 0.9660 9.8215
```



Entry 23:
Density functional theory data (PBE-GGA) for a relaxed structure of MgCo2Ge.

Results
Raw total energy in eV/atom: -4.932
M_tot in μB per formula unit: 0.00

```
MgCo2Ge
1.0
0.0000 2.9786 2.9786
2.9786 0.0000 2.9786
2.9786 2.9786 0.0000
Mg Co Ge
1 2 1
Cartesian
0.0000 0.0000 0.0000
1.4893 1.4893 1.4893
2.9786 2.9786 2.9786
4.4680 4.4680 4.4680
```



Entry 24:
Density functional theory data (PBE-GGA) for a relaxed structure of NaMoN2.

Results
Raw total energy in eV/atom: -7.551
M_tot in μB per formula unit: 0.00

```
NaMoN2
1.0
-2.5688 2.5688 4.6085
2.5688 -2.5688 4.6085
2.5688 2.5688 -4.6085
Na Mo N
2 2 4
Cartesian
0.0000 0.0000 0.0000
0.0000 2.5688 2.3042
2.5688 0.0000 2.3042
0.0000 0.0000 4.6085
1.2844 1.7657 -1.1521
3.3720 1.2844 1.1521
1.2844 0.8032 3.4563
-0.8032 1.2844 5.7606
```



Entry 25:
Density functional theory data (PBE-GGA) for a relaxed structure of YEr4Lu2Co2Te2.

Results
Raw total energy in eV/atom: -5.563
M_tot in μB per formula unit: 0.04

```
YEr4Lu2Co2Te2
1.0
-1.9070 7.7489 4.6971
1.9070 -7.7489 4.6971
1.9070 7.7489 -4.6971
Y Er Lu Co Te
1 4 2 2 2
Cartesian
0.0000 0.0000 0.0000
1.9070 5.6623 -0.7720
0.0000 2.0866 3.9250
0.0000 5.4255 2.5371
0.0000 10.0724 2.5371
1.9070 2.8844 1.1594
0.0000 4.8645 5.8564
1.9070 -4.0668 4.0385
1.9070 4.0668 4.0385
1.9070 0.0000 2.4950
0.0000 0.0000 6.2310
```